An optimized crystal structure of ZrTiSe2N, computed with PBE-GGA.

Cell: 5.0264 5.0264 3.7212 Å, 90.00 90.00 90.00°
Closest atoms and distances in Å follow each position.
Space group P4/mmm (No. 123)
Unique sites:
Zr (0.0000, 0.0000, 0.0000) [1 per cell]  8 Se 3.13
Ti (0.5000, 0.5000, 0.5000) [1 per cell]  2 N 1.86
Se (0.0000, 0.5000, 0.5000) [2 per cell]  2 Ti 2.51
N (0.5000, 0.5000, 0.0000) [1 per cell]  2 Ti 1.86

Properties
ΔE to the lowest computed polymorph	0.00	eV/f.u.
uncorrected formation energy	-466.7	meV per atom
total magnetization	0.000	μB/atom
V	94.02	Å³ per cell
uncorrected energy	-6.814	eV/atom